Density functional theory data (PBE-GGA) for a relaxed structure of CrCdIr2.

Results
The value obtained for the formation enthalpy at 0 K is 422.1 meV/atom. The crystal system is cubic. As for the symmetry: F-43m (216).

```
4
Lattice="4.4790 0.0000 0.0000 2.2395 3.8790 0.0000 2.2395 1.2930 3.6571" Properties=species:S:1:pos:R:3 pbc="T T T"
Cd 4.4790 2.5860 1.8286
Cr 6.7186 3.8790 2.7428
Ir 0.0000 0.0000 0.0000
Ir 2.2395 1.2930 0.9143
```